GGA-PBE Ba2SiPdI, relaxed; space-group type = P4/mmm; formation energy without anion corrections = 44 meV per atom
1.0
6.3119 0.0000 0.0000
0.0000 6.3119 0.0000
0.0000 0.0000 5.3474
Ba Si Pd I
2 1 1 1
Direct
0.0000 0.5000 0.0000
0.5000 0.0000 0.0000
0.0000 0.0000 0.0000
0.5000 0.5000 0.5000
0.0000 0.0000 0.5000



GGA-PBE Cu2PPt, relaxed; space-group type = P2/m; energy relative to the elements = -0.0423 eV/atom
1.0
2.8818 0.0000 0.0000
0.0000 3.8622 0.0000
-0.9032 0.0000 4.8394
Cu P Pt
2 1 1
Direct
0.1266 0.0000 0.2662
0.8734 0.0000 0.7338
0.5000 0.5000 0.5000
0.5000 0.5000 0.0000